# 1
Material: MoI2BrCl2
Method: DFT, GGA-PBE
State: relaxed

## Properties
VASP energy = -22.0 eV per formula unit
Total magnetization = 0.16 μB per atom
Energy above the most stable polymorph in this dataset = 4 meV per atom
Crystal system = triclinic

abc: 6.6269 7.2377 9.7492
angles: 107.77 91.84 113.77
With the nearest neighbours (Å) after each atom.
Fractional coordinates of all 12 atoms:
Mo 0.0972 0.2013 0.2024  3 Cl 2.31-2.55, 1 Br 2.45
Mo 0.9028 0.7987 0.7976  3 Cl 2.31-2.55, 1 Br 2.45
I 0.0793 0.8105 0.5599  1 Mo 2.64
I 0.4540 0.5665 0.3284  1 Mo 2.62
I 0.5460 0.4335 0.6716  1 Mo 2.62
I 0.9207 0.1895 0.4401  1 Mo 2.64
Br 0.1261 0.6332 0.8707  1 Mo 2.45
Br 0.8739 0.3668 0.1293  1 Mo 2.45
Cl 0.2204 0.1596 0.9549  2 Mo 2.54-2.55
Cl 0.2793 0.0000 0.2342  1 Mo 2.31
Cl 0.7207 0.0000 0.7658  1 Mo 2.31
Cl 0.7796 0.8404 0.0451  2 Mo 2.54-2.55

---

# 2
Material: NaSmIr
Method: DFT, GGA-PBE
State: relaxed

## Properties
VASP energy = -15.0 eV per formula unit
Total magnetization = 0.00 μB per atom
Energy above the most stable polymorph in this dataset = 0 meV per atom
Crystal system = cubic

abc: 4.7536 4.7536 4.7536
angles: 60.00 60.00 60.00
With the nearest neighbours (Å) after each atom.
Fractional coordinates of all 3 atoms:
Na 0.0000 0.0000 0.0000  4 Ir 2.91
Sm 0.5000 0.5000 0.5000  4 Ir 2.91
Ir 0.2500 0.2500 0.2500  4 Sm 2.91, 4 Na 2.91

---

# 3
Material: Ta2Co
Method: DFT, GGA-PBE
State: relaxed

## Properties
VASP energy = -29.9 eV per formula unit
Total magnetization = 0.38 μB per atom
Crystal system = hexagonal
Formation energy = 0.297 eV per atom

abc: 5.4337 5.4337 15.5778
angles: 90.00 90.00 120.00
With the nearest neighbours (Å) after each atom.
Fractional coordinates of all 24 atoms:
Ta 0.0000 0.5000 0.0000  2 Co 2.49, 4 Ta 2.72
Ta 0.0000 0.5000 0.5000  2 Co 2.49, 4 Ta 2.72
Ta 0.1635 0.3270 0.2500  2 Co 2.53, 4 Ta 2.67-2.77
Ta 0.1635 0.8365 0.2500  2 Co 2.53, 4 Ta 2.67-2.77
Ta 0.3270 0.1635 0.7500  2 Co 2.53, 4 Ta 2.67-2.77
Ta 0.3333 0.6667 0.6580  10 Ta 2.87-3.07, 3 Co 3.18
Ta 0.3333 0.6667 0.8420  10 Ta 2.87-3.07, 3 Co 3.18
Ta 0.5000 0.0000 0.0000  2 Co 2.49, 4 Ta 2.72
Ta 0.5000 0.0000 0.5000  2 Co 2.49, 4 Ta 2.72
Ta 0.5000 0.5000 0.0000  2 Co 2.49, 4 Ta 2.72
Ta 0.5000 0.5000 0.5000  2 Co 2.49, 4 Ta 2.72
Ta 0.6667 0.3333 0.1580  10 Ta 2.87-3.07, 3 Co 3.18
Ta 0.6667 0.3333 0.3420  10 Ta 2.87-3.07, 3 Co 3.18
Ta 0.6730 0.8365 0.2500  2 Co 2.53, 4 Ta 2.67-2.77
Ta 0.8365 0.1635 0.7500  2 Co 2.53, 4 Ta 2.67-2.77
Ta 0.8365 0.6730 0.7500  2 Co 2.53, 4 Ta 2.67-2.77
Co 0.0000 0.0000 0.0916  4 Co 2.85-3.18, 9 Ta 2.91-3.07
Co 0.0000 0.0000 0.4084  4 Co 2.85-3.18, 9 Ta 2.91-3.07
Co 0.0000 0.0000 0.5916  4 Co 2.85-3.18, 9 Ta 2.91-3.07
Co 0.0000 0.0000 0.9084  4 Co 2.85-3.18, 9 Ta 2.91-3.07
Co 0.3333 0.6667 0.1242  6 Ta 2.49-2.53
Co 0.3333 0.6667 0.3758  6 Ta 2.49-2.53
Co 0.6667 0.3333 0.6242  6 Ta 2.49-2.53
Co 0.6667 0.3333 0.8758  6 Ta 2.49-2.53

---

# 4
Material: LuSnIr
Method: DFT, GGA-PBE
State: relaxed

## Properties
VASP energy = -19.6 eV per formula unit
Total magnetization = 0.00 μB per atom
Crystal system = hexagonal

abc: 4.6673 4.6673 6.4482
angles: 90.00 90.00 120.00
With the nearest neighbours (Å) after each atom.
Fractional coordinates of all 6 atoms:
Lu 0.0000 0.0000 0.0000  6 Sn 3.14, 6 Ir 3.14, 2 Lu 3.22
Lu 0.0000 0.0000 0.5000  6 Ir 3.14, 6 Sn 3.14, 2 Lu 3.22
Sn 0.3333 0.6667 0.2500  3 Ir 2.69
Sn 0.6667 0.3333 0.7500  3 Ir 2.69
Ir 0.3333 0.6667 0.7500  3 Sn 2.69
Ir 0.6667 0.3333 0.2500  3 Sn 2.69

---

# 5
Material: YHfGa2
Method: DFT, GGA-PBE
State: relaxed

## Properties
VASP energy = -21.6 eV per formula unit
Total magnetization = 0.00 μB per atom
Crystal system = cubic

abc: 4.9288 4.9288 4.9288
angles: 60.00 60.00 60.00
With the nearest neighbours (Å) after each atom.
Fractional coordinates of all 4 atoms:
Y 0.0000 0.0000 0.0000  4 Ga 3.02, 4 Hf 3.02
Hf 0.2500 0.2500 0.2500  4 Ga 3.02, 4 Y 3.02
Ga 0.5000 0.5000 0.5000  4 Hf 3.02, 4 Ga 3.02
Ga 0.7500 0.7500 0.7500  4 Ga 3.02, 4 Y 3.02

---

# 6
Material: Al2Ni3
Method: DFT, GGA-PBE
State: relaxed

## Properties
VASP energy = -26.5 eV per formula unit
Total magnetization = 0.00 μB per atom
Energy above the most stable polymorph in this dataset = 0 meV per atom
Crystal system = tetragonal

abc: 8.7285 8.7285 4.7045
angles: 90.00 90.00 90.00
With the nearest neighbours (Å) after each atom.
Fractional coordinates of all 30 atoms:
Al 0.0555 0.2740 0.0000  9 Ni 2.37-2.56
Al 0.1042 0.1042 0.5000  2 Ni 2.33, 1 Al 2.57
Al 0.2260 0.5555 0.5000  9 Ni 2.37-2.56
Al 0.2740 0.0555 0.0000  9 Ni 2.37-2.56
Al 0.3958 0.6042 0.0000  2 Ni 2.33, 1 Al 2.57
Al 0.4445 0.7740 0.5000  9 Ni 2.37-2.56
Al 0.5555 0.2260 0.5000  9 Ni 2.37-2.56
Al 0.6042 0.3958 0.0000  2 Ni 2.33, 1 Al 2.57
Al 0.7260 0.9445 0.0000  9 Ni 2.37-2.56
Al 0.7740 0.4445 0.5000  9 Ni 2.37-2.56
Al 0.8958 0.8958 0.5000  2 Ni 2.33, 1 Al 2.57
Al 0.9445 0.7260 0.0000  9 Ni 2.37-2.56
Ni 0.0000 0.0000 0.0000  8 Al 2.44-2.68, 4 Ni 2.59
Ni 0.0355 0.3618 0.5000  5 Al 2.33-2.48, 1 Ni 2.49
Ni 0.1382 0.5355 0.0000  5 Al 2.33-2.48, 1 Ni 2.49
Ni 0.1865 0.8135 0.2515  3 Ni 2.34-2.59, 4 Al 2.54-2.56
Ni 0.1865 0.8135 0.7485  3 Ni 2.34-2.59, 4 Al 2.54-2.56
Ni 0.3135 0.3135 0.2485  3 Ni 2.34-2.59, 4 Al 2.54-2.56
Ni 0.3135 0.3135 0.7515  3 Ni 2.34-2.59, 4 Al 2.54-2.56
Ni 0.3618 0.0355 0.5000  5 Al 2.33-2.48, 1 Ni 2.49
Ni 0.4645 0.8618 0.0000  5 Al 2.33-2.48, 1 Ni 2.49
Ni 0.5000 0.5000 0.5000  8 Al 2.44-2.68, 4 Ni 2.59
Ni 0.5355 0.1382 0.0000  5 Al 2.33-2.48, 1 Ni 2.49
Ni 0.6382 0.9645 0.5000  5 Al 2.33-2.48, 1 Ni 2.49
Ni 0.6865 0.6865 0.2485  3 Ni 2.34-2.59, 4 Al 2.54-2.56
Ni 0.6865 0.6865 0.7515  3 Ni 2.34-2.59, 4 Al 2.54-2.56
Ni 0.8135 0.1865 0.2515  3 Ni 2.34-2.59, 4 Al 2.54-2.56
Ni 0.8135 0.1865 0.7485  3 Ni 2.34-2.59, 4 Al 2.54-2.56
Ni 0.8618 0.4645 0.0000  5 Al 2.33-2.48, 1 Ni 2.49
Ni 0.9645 0.6382 0.5000  5 Al 2.33-2.48, 1 Ni 2.49

---

# 7
Material: ZrSnPd2
Method: DFT, GGA-PBE
State: relaxed

## Properties
VASP energy = -25.1 eV per formula unit
Total magnetization = 0.00 μB per atom
Crystal system = cubic

abc: 4.6919 4.6919 4.6919
angles: 60.00 60.00 60.00
With the nearest neighbours (Å) after each atom.
Fractional coordinates of all 4 atoms:
Zr 0.0000 0.0000 0.0000  4 Sn 2.87, 4 Pd 2.87
Sn 0.2500 0.2500 0.2500  4 Pd 2.87, 4 Zr 2.87
Pd 0.5000 0.5000 0.5000  4 Sn 2.87, 4 Pd 2.87
Pd 0.7500 0.7500 0.7500  4 Pd 2.87, 4 Zr 2.87

---

# 8
Material: ZrCuReB
Method: DFT, GGA-PBE
State: relaxed

## Properties
VASP energy = -28.0 eV per formula unit
Total magnetization = 0.00 μB per atom
Energy above the most stable polymorph in this dataset = 137 meV per atom
Crystal system = cubic

abc: 4.3507 4.3507 4.3507
angles: 60.00 60.00 60.00
With the nearest neighbours (Å) after each atom.
Fractional coordinates of all 4 atoms:
Zr 0.0000 0.0000 0.0000  4 Re 2.66, 4 B 2.66
Cu 0.5000 0.5000 0.5000  4 Re 2.66, 4 B 2.66
Re 0.7500 0.7500 0.7500  4 Zr 2.66, 4 Cu 2.66
B 0.2500 0.2500 0.2500  4 Zr 2.66, 4 Cu 2.66